! PBE Sm2Zn2NiPt5, optimized geometry; values from VASP
! DFT total energy   -109.89 eV for the cell shown
! SG   P4/mbm, No. 127
&SYSTEM
  ibrav = 0, nat = 20, ntyp = 4
/
ATOMIC_SPECIES
Sm 150.36 Sm.upf
Zn 65.41 Zn.upf
Ni 58.69 Ni.upf
Pt 195.08 Pt.upf
CELL_PARAMETERS angstrom
9.578 0.000 0.000
0.000 9.578 0.000
0.000 0.000 3.817
ATOMIC_POSITIONS crystal
Sm 0.178 0.322 0.000
Sm 0.322 0.822 0.000
Sm 0.678 0.178 0.000
Sm 0.822 0.678 0.000
Zn 0.122 0.622 0.000
Zn 0.378 0.122 0.000
Zn 0.622 0.878 0.000
Zn 0.878 0.378 0.000
Ni 0.000 0.000 0.000
Ni 0.500 0.500 0.000
Pt 0.000 0.500 0.500
Pt 0.061 0.800 0.500
Pt 0.200 0.061 0.500
Pt 0.300 0.561 0.500
Pt 0.439 0.300 0.500
Pt 0.500 0.000 0.500
Pt 0.561 0.700 0.500
Pt 0.700 0.439 0.500
Pt 0.800 0.939 0.500
Pt 0.939 0.200 0.500